{
  "formula": "Cd3BrF",
  "functional": "PBE",
  "state": "relaxed",
  "lattice": [[5.854, 0.000, 0.000], [0.000, 5.854, 0.000], [0.000, 0.000, 5.854]],
  "species": ["Cd", "Cd", "Cd", "Br", "F"],
  "fractional_positions": [[0.000, 0.000, 0.500], [0.000, 0.500, 0.000], [0.500, 0.000, 0.000], [0.000, 0.000, 0.000], [0.500, 0.500, 0.500]],
  "e_form_raw_kcal_per_mol_atoms": 1.50,
  "total_magnetization_mub_per_fu": 0.0,
  "crystal_system": "cubic",
  "dos_at_fermi_per_ev_cell": 2.7
}